[1]
A plane-wave DFT calculation with GGA-PBE was carried out for a geometry-optimized KYTa2Br structure.

abc: 5.0252 7.9537 5.0252
angles: 90.00 90.00 90.00
Atoms (fractional coordinates):
K 0.0000 0.5000 0.0000
Ta 0.0000 0.0000 0.5000
Br 0.5000 0.5000 0.5000
Y 0.0000 0.0000 0.0000
Ta 0.5000 0.0000 0.0000

Summary:
formation energy from raw total energies = 1817 meV/atom


[2]
A plane-wave DFT calculation with GGA-PBE was carried out for a geometry-optimized AcNbAl2O8 structure.

abc: 5.5739 5.5739 6.8947
angles: 90.00 90.00 120.00
Last column: magnetic moment on the atom in μB.
Atoms (fractional coordinates):
Ac 0.0000 0.0000 0.0000  0.00
Al 0.3333 0.6667 0.7502  -0.01
O 0.6824 0.8419 0.6848  0.06
O 0.8405 0.6824 0.3152  0.06
O 0.1581 0.8405 0.6848  0.06
O 0.3333 0.6667 0.0102  0.57
Nb 0.0000 0.0000 0.5000  -0.02
O 0.6667 0.3333 0.9898  0.57
O 0.3176 0.1581 0.3152  0.06
Al 0.6667 0.3333 0.2498  -0.01
O 0.1595 0.3176 0.6848  0.06
O 0.8419 0.1595 0.3152  0.06

Summary:
formation energy from raw total energies = -2455 meV/atom